First-principles (PBE) data for crystalline AlCoNiPd at its relaxed geometry, as listed in OQMD via LeMat-Bulk.

a = 5.867 Å, b = 5.867 Å, c = 5.867 Å
α = 90.00°, β = 90.00°, γ = 90.00°
Space group F-43m (No. 216)
One atom of each set of equivalent atoms:
Al 0.000 0.000 0.000 [4 per cell]
Co 0.250 0.250 0.250 [4 per cell]
Ni 0.000 0.000 0.500 [4 per cell]
Pd 0.250 0.250 0.750 [4 per cell]

Computed properties:
- Final energy: -0.20995 Ha/atom
- Energy relative to the lowest polymorph listed for this composition: 0 meV/atom

First-principles (PBE) data for crystalline Pr3InNiHg2Au2 at its relaxed geometry, as listed in OQMD via LeMat-Bulk.

a = 3.958 Å, b = 13.839 Å, c = 7.893 Å
α = 90.00°, β = 90.00°, γ = 90.00°
Space group Amm2 (No. 38)
One atom of each set of equivalent atoms:
Pr 0.000 0.000 0.000 [2 per cell]
Pr 0.000 0.202 0.584 [4 per cell]
In 0.500 0.000 0.628 [2 per cell]
Ni 0.000 0.000 0.399 [2 per cell]
Hg 0.500 0.125 0.266 [4 per cell]
Au 0.500 0.162 0.883 [4 per cell]

Computed properties:
- Final energy: -0.14334 Ha/atom

First-principles (PBE) data for crystalline PrYCu2SiGe at its relaxed geometry, as listed in OQMD via LeMat-Bulk.

a = 4.2175 Å, b = 4.2175 Å, c = 7.7725 Å
α = 90.00°, β = 90.00°, γ = 120.00°
Space group P3m1 (No. 156)
One atom of each set of equivalent atoms:
Pr 0.0000 0.0000 0.0000 [1 per cell]
Y 0.0000 0.0000 0.4960 [1 per cell]
Cu 0.3333 0.6667 0.2611 [1 per cell]
Cu 0.6667 0.3333 0.7347 [1 per cell]
Si 0.6667 0.3333 0.2584 [1 per cell]
Ge 0.3333 0.6667 0.7372 [1 per cell]

Computed properties:
- Final energy: -0.20016 Ha/atom

First-principles (PBE) data for crystalline Hf2W at its relaxed geometry, as listed in OQMD via LeMat-Bulk.

a = 7.797 Å, b = 7.797 Å, c = 7.797 Å
α = 90.00°, β = 90.00°, γ = 90.00°
Space group Fd-3m (No. 227, origin choice 2)
One atom of each set of equivalent atoms:
Hf 0.000 0.000 0.000 [16 per cell]
W 0.125 0.125 0.625 [8 per cell]

Computed properties:
- Final energy: -0.37553 Ha/atom
- Energy of formation: 214 kJ/mol of formula units
- Energy relative to the lowest polymorph listed for this composition: 627 meV/atom

First-principles (PBE) data for crystalline PuHfMg at its relaxed geometry, as listed in OQMD via LeMat-Bulk.

a = 6.860 Å, b = 6.860 Å, c = 6.860 Å
α = 90.00°, β = 90.00°, γ = 90.00°
Space group F-43m (No. 216)
One atom of each set of equivalent atoms:
Pu 0.000 0.000 0.000 [4 per cell]
Hf 0.250 0.250 0.750 [4 per cell]
Mg 0.000 0.000 0.500 [4 per cell]

Computed properties:
- Final energy: -0.28346 Ha/atom
- Energy relative to the lowest polymorph listed for this composition: 0 meV/atom

First-principles (PBE) data for crystalline Gd3MgGa2Ge2Pd at its relaxed geometry, as listed in OQMD via LeMat-Bulk.

a = 4.356 Å, b = 12.588 Å, c = 6.974 Å
α = 90.00°, β = 90.00°, γ = 90.00°
Space group Amm2 (No. 38)
One atom of each set of equivalent atoms:
Gd 0.000 0.000 0.000 [2 per cell]
Gd 0.000 0.205 0.394 [4 per cell]
Mg 0.500 0.000 0.367 [2 per cell]
Ga 0.500 0.163 0.093 [4 per cell]
Ge 0.500 0.131 0.710 [4 per cell]
Pd 0.000 0.000 0.597 [2 per cell]

Computed properties:
- Final energy: -0.17193 Ha/atom